# Cr3In (PBE-GGA, relaxed)
data_Cr3In
_cell_length_a 2.813
_cell_length_b 3.734
_cell_length_c 5.585
_cell_angle_alpha 90.00
_cell_angle_beta 96.33
_cell_angle_gamma 90.00
_space_group_name_H-M_alt 'P 1'
_space_group_IT_number 1
_space_group_name_Hall 'P 1'
loop_
_atom_site_label
_atom_site_fract_x
_atom_site_fract_y
_atom_site_fract_z
Cr1 0.000 0.000 0.000
Cr2 0.419 0.500 0.182
Cr3 0.581 0.500 0.818
In1 0.000 0.000 0.500
# DFT total energy = -7.53 eV per atom
# Formation enthalpy at 0 K = 0.369 eV/atom
# Space group = No. 10